Entry from the Alexandria database: a geometry-optimized V3BiPb structure (PBE-GGA).

Results
The value obtained for the calculated formation energy is 1.37 eV/atom. The density is 6.80 g/cm3. The symmetry is Pm-3m, No. 221. The calculation puts the volume at 139 Å³/f.u. Its crystal system is cubic. For the spin magnetization, the calculation gives 8.335 Bohr magnetons per cell. The calculation puts the energy relative to the lowest polymorph listed for this composition at 0 meV/atom.

Lattice parameters (Å, degrees): 5.178 5.178 5.178 90.00 90.00 90.00
Element x y z (fractional)
V (0.000, 0.500, 0.000)
V (0.500, 0.000, 0.000)
V (0.000, 0.000, 0.500)
Pb (0.500, 0.500, 0.500)
Bi (0.000, 0.000, 0.000)